Record 1
Density functional theory data (SCAN) for a PBEsol-optimized structure of Zr2HgIr.

Properties
Mass density (g cm⁻³): 12.2
E (eV/atom): -50.841

a b c (Å): 4.4102 3.3276 10.6582
angles (deg): 90.00 90.00 90.00
Closest atoms and distances in Å follow each position.
Space group Amm2 (No. 38)
One atom of each set of equivalent atoms:
Zr (0.0000, 0.0000, 0.0000) x2  4 Ir 2.81, 3 Hg 2.92-2.93
Zr (0.5000, 0.0000, 0.3026) x2  1 Ir 2.61, 4 Hg 2.88
Hg (0.0000, 0.0000, 0.7255) x2  7 Zr 2.88-2.93, 2 Ir 2.91
Ir (0.5000, 0.0000, 0.5471) x2  5 Zr 2.61-2.81, 2 Hg 2.91

Record 2
Density functional theory data (SCAN) for a PBEsol-optimized structure of Zr2HgIr.

Properties
Mass density (g cm⁻³): 12.5
E (eV/atom): -50.827

a b c (Å): 3.2682 3.2682 7.1632
angles (deg): 90.00 90.00 90.00
Closest atoms and distances in Å follow each position.
Space group P4/mmm (No. 123)
One atom of each set of equivalent atoms:
Zr (0.0000, 0.0000, 0.2235) x2  4 Ir 2.81, 4 Hg 3.04
Hg (0.5000, 0.5000, 0.5000) x1  8 Zr 3.04, 4 Hg 3.27
Ir (0.5000, 0.5000, 0.0000) x1  8 Zr 2.81

Record 3
Density functional theory data (SCAN) for a PBEsol-optimized structure of Zr2HgIr.

Properties
Mass density (g cm⁻³): 12.8
E (eV/atom): -50.720

a b c (Å): 6.0236 7.9769 3.0947
angles (deg): 90.00 90.00 90.00
Closest atoms and distances in Å follow each position.
Space group Cmmm (No. 65)
One atom of each set of equivalent atoms:
Zr (0.2500, 0.2500, 0.0000) x4  4 Hg 2.94, 4 Ir 2.94, 4 Zr 3.01-3.09
Hg (0.0000, 0.0000, 0.5000) x2  8 Zr 2.94, 2 Ir 3.01, 2 Hg 3.09
Ir (0.0000, 0.5000, 0.5000) x2  8 Zr 2.94, 2 Hg 3.01, 2 Ir 3.09

Q: Which ΔH_f (0 K) values were calculated for the entries above? A: -0.676; -0.661; -0.555, in eV per atom.